1.
The following is a PBE-GGA calculation of a relaxed structure of Na4BePt3O8, from Alexandria via LeMat-Bulk.

The structure in POSCAR format:
```
Na4BePt3O8
1.0
6.0108 -3.0010 0.0000
6.0108 3.0010 0.0000
-2.8059 0.0000 5.3450
Na Be Pt O
4 1 3 8
direct
0.0000 0.0000 0.0000
0.0000 0.5000 0.5000
0.5000 0.0000 0.5000
0.5000 0.5000 0.0000
0.0000 0.0000 0.5000
0.0000 0.5000 0.0000
0.5000 0.0000 0.0000
0.5000 0.5000 0.5000
0.1582 0.7158 0.2768
0.2118 0.2118 0.1848
0.2842 0.8418 0.7232
0.2895 0.2895 0.8176
0.7105 0.7105 0.1824
0.7158 0.1582 0.2768
0.7882 0.7882 0.8152
0.8418 0.2842 0.7232
```

## Properties
E_form (uncorrected), eV per atom: -1.114
M_tot, μB per atom: 0.0000
SG: C2/m (12)
N(E_F), states/eV/cell: 0.000

---

2.
The following is a PBE-GGA calculation of a relaxed structure of NaPu2BeO8, from Alexandria via LeMat-Bulk.

The structure in POSCAR format:
```
NaPu2BeO8
1.0
3.3832 -3.1841 0.0000
3.3832 3.1841 0.0000
-0.1871 0.0000 6.7943
Na Pu Be O
1 2 1 8
direct
0.0000 0.0000 0.0000
0.4953 0.4953 0.7414
0.5047 0.5047 0.2586
0.0000 0.0000 0.5000
0.2009 0.7984 0.2883
0.2016 0.7991 0.7117
0.2945 0.2945 0.5046
0.3226 0.3226 0.0163
0.6774 0.6774 0.9837
0.7055 0.7055 0.4954
0.7984 0.2009 0.2883
0.7991 0.2016 0.7117
```

## Properties
E_form (uncorrected), eV per atom: -2.172
M_tot, μB per atom: 0.2500
SG: C2/m (12)
N(E_F), states/eV/cell: 4.980